This record from Alexandria via LeMat-Bulk describes an optimized crystal structure of Cs2Li2CdF6. The functional is PBE-GGA.

The calculation puts the calculated density at 4.1 Mg/m³. The total energy comes out at -4.245 eV/atom. Its formation energy from raw total energies is -2.64 eV/atom.

The space group is C2/m (No. 12) and the conventional cell measures 10.8666, 6.2275 and 6.8028 Å, with angles of 90.00, 118.23 and 90.00 degrees. The inequivalent atoms are Cs at (0.2183, 0.0000, 0.1674), Li at (0.0835, 0.5000, 0.2644), Cd at (0.0000, 0.0000, 0.5000), F at (0.0064, 0.2516, 0.7473) and F at (0.2386, 0.0000, 0.6889).